Entry 1:
RbBeAu3 (PBE, optimized geometry); DFT formation energy = -0.05 eV/atom; space group = No. 221; density = 10.3 g cm⁻³; excess energy over the best structure of this formula in the dataset = 97 meV per atom
1.0
4.801 0.000 0.000
0.000 4.801 0.000
0.000 0.000 4.801
Rb Be Au
1 1 3
direct
0.000 0.000 0.000
0.500 0.500 0.500
0.000 0.500 0.500
0.500 0.000 0.500
0.500 0.500 0.000


Entry 2:
Rb2Be2Au (PBE, optimized geometry); DFT formation energy = 0.54 eV/atom; space group = No. 139; density = 5.0 g cm⁻³; excess energy over the best structure of this formula in the dataset = 0 meV per atom
1.0
3.355 0.000 0.000
0.000 3.355 0.000
0.000 0.000 22.678
Rb Be Au
4 4 2
direct
0.000 0.000 0.108
0.000 0.000 0.892
0.500 0.500 0.392
0.500 0.500 0.608
0.000 0.500 0.250
0.000 0.500 0.750
0.500 0.000 0.250
0.500 0.000 0.750
0.000 0.000 0.500
0.500 0.500 0.000


Entry 3:
RbBeAu2 (PBE, optimized geometry); DFT formation energy = -0.08 eV/atom; space group = No. 166; density = 7.8 g cm⁻³
1.0
4.363 0.000 0.000
-2.181 3.778 0.000
0.000 0.000 19.028
Rb Be Au
3 3 6
direct
0.000 0.000 0.000
0.333 0.667 0.667
0.667 0.333 0.333
0.000 0.000 0.500
0.333 0.667 0.167
0.667 0.333 0.833
0.000 0.000 0.192
0.000 0.000 0.808
0.333 0.667 0.474
0.333 0.667 0.859
0.667 0.333 0.141
0.667 0.333 0.526


Entry 4:
Rb2BeAu2 (PBE, optimized geometry); DFT formation energy = 0.14 eV/atom; space group = No. 127; density = 7.1 g cm⁻³
1.0
6.820 0.000 0.000
0.000 6.820 0.000
0.000 0.000 5.784
Rb Be Au
4 2 4
direct
0.171 0.329 0.000
0.329 0.829 0.000
0.671 0.171 0.000
0.829 0.671 0.000
0.000 0.000 0.500
0.500 0.500 0.500
0.170 0.670 0.500
0.330 0.170 0.500
0.670 0.830 0.500
0.830 0.330 0.500


Entry 5:
RbBeAu (PBE, optimized geometry); DFT formation energy = 0.06 eV/atom; space group = No. 2; density = 5.1 g cm⁻³
1.0
4.432 0.000 0.000
-0.012 6.777 0.000
-2.164 -1.937 6.332
Rb Be Au
2 2 2
direct
0.104 0.313 0.198
0.896 0.687 0.802
0.338 0.168 0.680
0.662 0.832 0.320
0.194 0.873 0.386
0.806 0.127 0.614


Entry 6:
RbBe3Au (PBE, optimized geometry); DFT formation energy = 0.44 eV/atom; space group = No. 221; density = 5.3 g cm⁻³; excess energy over the best structure of this formula in the dataset = 0 meV per atom
1.0
4.583 0.000 0.000
0.000 4.583 0.000
0.000 0.000 4.583
Rb Be Au
1 3 1
direct
0.000 0.000 0.000
0.000 0.500 0.500
0.500 0.000 0.500
0.500 0.500 0.000
0.500 0.500 0.500